# Na2PmTc2N4 | Alexandria | PBE | optimized geometry
# Density of states at the Fermi level (states/eV per cell): 6.26
# Raw total energy (eV/atom): -7.1923
# Energy relative to the elements, uncorrected (kJ per mole of atoms): -35
data_Na2PmTc2N4
_chemical_formula_sum 'Na4 Pm2 Tc4 N8'
_symmetry_space_group_name_H-M 'C 1 2/m 1'
_symmetry_Int_Tables_number 12
_symmetry_space_group_name_Hall '-C 2y'
_cell_length_a 11.5892
_cell_length_b 3.4563
_cell_length_c 8.7198
_cell_angle_alpha 90.00
_cell_angle_beta 125.83
_cell_angle_gamma 90.00
loop_
_atom_site_label
_atom_site_type_symbol
_atom_site_fract_x
_atom_site_fract_y
_atom_site_fract_z
Na1 Na 0.1489 0.0000 0.2459
Pm1 Pm 0.0000 0.0000 0.5000
Tc1 Tc 0.1506 0.5000 0.8799
N1 N 0.0386 0.5000 0.3328
N2 N 0.2198 0.0000 0.8266